(1)
# BeRh2W PBE relaxed
# **Size of the total moment**: 0.00 μB per formula unit
# **Calculated density**: 12.0 Mg/m³
# **Formation enthalpy at 0 K**: -43.4 meV per atom
data_BeRh2W
_chemical_formula_sum 'Be1 Rh2 W1'
_symmetry_space_group_name_H-M 'P 4/m m m'
_symmetry_Int_Tables_number 123
_symmetry_space_group_name_Hall '-P 4 2'
_cell_length_a 4.3957
_cell_length_b 4.3957
_cell_length_c 2.8557
_cell_angle_alpha 90.00
_cell_angle_beta 90.00
_cell_angle_gamma 90.00
loop_
_atom_site_label
_atom_site_type_symbol
_atom_site_fract_x
_atom_site_fract_y
_atom_site_fract_z
_atom_site_occupancy
Be1 Be 0.0000 0.0000 0.0000 1
Rh1 Rh 0.0000 0.5000 0.5000 1
W1 W 0.5000 0.5000 0.0000 1

---

(2)
# BeRh2W PBE relaxed
# **Size of the total moment**: 0.00 μB per formula unit
# **Calculated density**: 12.1 Mg/m³
# **Formation enthalpy at 0 K**: 181.4 meV per atom
data_BeRh2W
_chemical_formula_sum 'Be4 Rh8 W4'
_symmetry_space_group_name_H-M 'F -4 3 m'
_symmetry_Int_Tables_number 216
_symmetry_space_group_name_Hall 'F -4 2 3'
_cell_length_a 6.0237
_cell_length_b 6.0237
_cell_length_c 6.0237
_cell_angle_alpha 90.00
_cell_angle_beta 90.00
_cell_angle_gamma 90.00
loop_
_atom_site_label
_atom_site_type_symbol
_atom_site_fract_x
_atom_site_fract_y
_atom_site_fract_z
_atom_site_occupancy
Be1 Be 0.0000 0.0000 0.0000 1
Rh1 Rh 0.0000 0.0000 0.5000 1
Rh2 Rh 0.2500 0.2500 0.2500 1
W1 W 0.2500 0.2500 0.7500 1

---

(3)
# BeRhW PBE relaxed
# **Polymorph energy (0 for the lowest one)**: 0.1073 eV/atom
# **Size of the total moment**: 0.00 μB per formula unit
# **Calculated density**: 12.6 Mg/m³
# **Formation enthalpy at 0 K**: -148.0 meV per atom
data_BeRhW
_chemical_formula_sum 'Be1 Rh1 W1'
_symmetry_space_group_name_H-M 'P -6 m 2'
_symmetry_Int_Tables_number 187
_symmetry_space_group_name_Hall 'P -6 2'
_cell_length_a 4.0645
_cell_length_b 4.0645
_cell_length_c 2.7345
_cell_angle_alpha 90.00
_cell_angle_beta 90.00
_cell_angle_gamma 120.00
loop_
_atom_site_label
_atom_site_type_symbol
_atom_site_fract_x
_atom_site_fract_y
_atom_site_fract_z
_atom_site_occupancy
Be1 Be 0.0000 0.0000 0.0000 1
Rh1 Rh 0.6667 0.3333 0.0000 1
W1 W 0.3333 0.6667 0.5000 1

---

(4)
# Be2RhW PBE relaxed
# **Polymorph energy (0 for the lowest one)**: 0.0410 eV/atom
# **Size of the total moment**: 0.00 μB per formula unit
# **Calculated density**: 11.1 Mg/m³
# **Formation enthalpy at 0 K**: -209.6 meV per atom
data_Be2RhW
_chemical_formula_sum 'Be4 Rh2 W2'
_symmetry_space_group_name_H-M 'A m m 2'
_symmetry_Int_Tables_number 38
_cell_length_a 3.6538
_cell_length_b 2.8154
_cell_length_c 8.8513
_cell_angle_alpha 90.00
_cell_angle_beta 90.00
_cell_angle_gamma 90.00
loop_
_symmetry_equiv_pos_as_xyz
'x,y,z'
'-x,-y,z'
'-x,y,z'
'x,-y,z'
'x,y+1/2,z+1/2'
'-x,-y+1/2,z+1/2'
'-x,y+1/2,z+1/2'
'x,-y+1/2,z+1/2'
loop_
_atom_site_label
_atom_site_type_symbol
_atom_site_fract_x
_atom_site_fract_y
_atom_site_fract_z
_atom_site_occupancy
Be1 Be 0.0000 0.0000 0.0000 1
Be2 Be 0.5000 0.0000 0.1352 1
Rh1 Rh 0.0000 0.0000 0.7151 1
W1 W 0.5000 0.0000 0.4080 1

---

(5)
# Be2RhW PBE relaxed
# **Polymorph energy (0 for the lowest one)**: 0.3269 eV/atom
# **Size of the total moment**: 0.00 μB per formula unit
# **Calculated density**: 10.2 Mg/m³
# **Formation enthalpy at 0 K**: 76.3 meV per atom
data_Be2RhW
_chemical_formula_sum 'Be8 Rh4 W4'
_symmetry_space_group_name_H-M 'F -4 3 m'
_symmetry_Int_Tables_number 216
_symmetry_space_group_name_Hall 'F -4 2 3'
_cell_length_a 5.8267
_cell_length_b 5.8267
_cell_length_c 5.8267
_cell_angle_alpha 90.00
_cell_angle_beta 90.00
_cell_angle_gamma 90.00
loop_
_atom_site_label
_atom_site_type_symbol
_atom_site_fract_x
_atom_site_fract_y
_atom_site_fract_z
_atom_site_occupancy
Be1 Be 0.0000 0.0000 0.0000 1
Be2 Be 0.2500 0.2500 0.2500 1
Rh1 Rh 0.0000 0.0000 0.5000 1
W1 W 0.2500 0.2500 0.7500 1

---

(6)
# BeRh3W PBE relaxed
# **Polymorph energy (0 for the lowest one)**: 0.0000 eV/atom
# **Size of the total moment**: 0.00 μB per formula unit
# **Calculated density**: 12.1 Mg/m³
# **Formation enthalpy at 0 K**: 220.3 meV per atom
data_BeRh3W
_chemical_formula_sum 'Be1 Rh3 W1'
_symmetry_space_group_name_H-M 'P m -3 m'
_symmetry_Int_Tables_number 221
_symmetry_space_group_name_Hall '-P 4 2 3'
_cell_length_a 4.0942
_cell_length_b 4.0942
_cell_length_c 4.0942
_cell_angle_alpha 90.00
_cell_angle_beta 90.00
_cell_angle_gamma 90.00
loop_
_atom_site_label
_atom_site_type_symbol
_atom_site_fract_x
_atom_site_fract_y
_atom_site_fract_z
_atom_site_occupancy
Be1 Be 0.0000 0.0000 0.0000 1
Rh1 Rh 0.0000 0.0000 0.5000 1
W1 W 0.5000 0.5000 0.5000 1

---

(7)
# Be2RhW PBE relaxed
# **Polymorph energy (0 for the lowest one)**: 0.1469 eV/atom
# **Size of the total moment**: 0.00 μB per formula unit
# **Calculated density**: 10.8 Mg/m³
# **Formation enthalpy at 0 K**: -103.7 meV per atom
data_Be2RhW
_chemical_formula_sum 'Be4 Rh2 W2'
_symmetry_space_group_name_H-M 'I m m 2'
_symmetry_Int_Tables_number 44
_cell_length_a 2.7974
_cell_length_b 4.0498
_cell_length_c 8.2513
_cell_angle_alpha 90.00
_cell_angle_beta 90.00
_cell_angle_gamma 90.00
loop_
_symmetry_equiv_pos_as_xyz
'x,y,z'
'-x,-y,z'
'-x,y,z'
'x,-y,z'
'x+1/2,y+1/2,z+1/2'
'-x+1/2,-y+1/2,z+1/2'
'-x+1/2,y+1/2,z+1/2'
'x+1/2,-y+1/2,z+1/2'
loop_
_atom_site_label
_atom_site_type_symbol
_atom_site_fract_x
_atom_site_fract_y
_atom_site_fract_z
_atom_site_occupancy
Be1 Be 0.0000 0.0000 0.0000 1
Be2 Be 0.0000 0.5000 0.2885 1
Rh1 Rh 0.0000 0.5000 0.7474 1
W1 W 0.0000 0.0000 0.5249 1

---

(8)
# Be3RhW PBE relaxed
# **Polymorph energy (0 for the lowest one)**: 0.0000 eV/atom
# **Size of the total moment**: 0.83 μB per formula unit
# **Calculated density**: 8.2 Mg/m³
# **Formation enthalpy at 0 K**: 721.3 meV per atom
data_Be3RhW
_chemical_formula_sum 'Be3 Rh1 W1'
_symmetry_space_group_name_H-M 'P m -3 m'
_symmetry_Int_Tables_number 221
_symmetry_space_group_name_Hall '-P 4 2 3'
_cell_length_a 3.9929
_cell_length_b 3.9929
_cell_length_c 3.9929
_cell_angle_alpha 90.00
_cell_angle_beta 90.00
_cell_angle_gamma 90.00
loop_
_atom_site_label
_atom_site_type_symbol
_atom_site_fract_x
_atom_site_fract_y
_atom_site_fract_z
_atom_site_occupancy
Be1 Be 0.0000 0.0000 0.5000 1
Rh1 Rh 0.0000 0.0000 0.0000 1
W1 W 0.5000 0.5000 0.5000 1